[1]
Below is crystalline Ho6InTe at its relaxed geometry, with properties calculated at the PBE level.

Structure (extended XYZ):
```
8
Lattice="-6.761 -1.089 5.292 -0.952 -7.425 4.328 -0.685 -1.515 5.891" Properties=species:S:1:pos:R:3 pbc="T T T"
Ho -3.794 -2.803 5.197
Ho -5.558 -1.956 8.386
Ho -4.604 -7.227 10.315
Ho -7.403 -5.177 8.905
Ho -2.839 -8.074 7.125
Ho -0.995 -4.853 6.606
In -4.199 -5.015 7.756
Te 0.000 0.000 0.000
```

Summary:
- space-group type = R-3, No. 148
- energy relative to the elements, uncorrected (eV per atom) = -0.294
- total DFT energy (no corrections) (eV per atom) = -4.463


[2]
Below is crystalline CaPu2C at its relaxed geometry, with properties calculated at the PBE level.

Structure (extended XYZ):
```
4
Lattice="-0.202 0.529 -3.939 0.980 -2.971 -2.459 -5.907 -2.880 -2.094" Properties=species:S:1:pos:R:3 pbc="T T T"
C 0.000 0.000 0.000
Pu -4.992 -4.376 -6.362
Pu -0.136 -0.947 -2.130
Ca -2.564 -2.661 -4.246
```

Summary:
- space-group type = R-3m, No. 166
- E_form (meV per atom) = 336
- total DFT energy (no corrections) (eV per atom) = -9.636


[3]
Below is crystalline CoRu2Se at its relaxed geometry, with properties calculated at the PBE level.

Structure (extended XYZ):
```
4
Lattice="-0.702 2.687 0.587 -3.173 -0.497 -1.520 -2.092 -1.615 4.894" Properties=species:S:1:pos:R:3 pbc="T T T"
Se -1.150 -0.888 2.691
Co -3.485 -0.100 3.153
Ru -2.078 -1.604 4.861
Ru -2.392 0.744 0.595
```

Summary:
- space-group type = Pmm2, No. 25
- energy relative to the elements, uncorrected (eV per atom) = 0.303
- total DFT energy (no corrections) (eV per atom) = -6.983


[4]
Below is crystalline SbTe2IrO at its relaxed geometry, with properties calculated at the PBE level.

Structure (extended XYZ):
```
5
Lattice="4.720 0.000 0.000 0.000 4.720 0.000 0.000 0.000 4.620" Properties=species:S:1:pos:R:3 pbc="T T T"
Ir 2.360 2.360 2.310
Te 0.000 2.360 0.000
Te 2.360 0.000 0.000
Sb 0.000 0.000 2.310
O 0.000 0.000 0.000
```

Summary:
- energy relative to the lowest polymorph listed for this composition (meV/atom) = 0
- space-group type = P4/mmm, No. 123
- energy relative to the elements, uncorrected (eV per atom) = 0.541
- total DFT energy (no corrections) (eV per atom) = -4.304